The following is a meta-GGA SCAN calculation of a crystal of LiTl2Ag relaxed with PBEsol, from Alexandria via LeMat-Bulk.

abc: 3.8331 4.6036 5.6778
angles: 113.92 109.73 90.00
With the nearest neighbours (Å) after each atom.
Fractional positions:
Tl  0.9934  0.9934  0.9868  4 Ag 3.00, 4 Li 3.13-3.29, 4 Tl 3.18-3.24
Li  0.2374  0.7374  0.4748  2 Ag 2.89, 6 Tl 3.00-3.13
Ag  0.5128  0.5128  0.0257  2 Li 2.89, 6 Tl 3.00-3.13
Tl  0.7564  0.2564  0.5127  4 Li 3.00, 4 Ag 3.13-3.29, 4 Tl 3.18-3.24

Calculated values
As for the final energy: -44.671 eV/atom. The energy relative to the elements comes out at -0.052 eV/atom.